No. 1
Material: CuSb6S8I4
Method: DFT, PBE-GGA
State: relaxed

Computed properties:
E_tot: -3.8187 eV/atom
Crystal system: triclinic
Space group: P-1

Unit cell a=7.559 b=8.760 c=9.190 alpha=91.19 beta=94.47 gamma=108.90
Sites, in units of the cell vectors:
Sb1 0.777 0.577 0.081
S1 0.906 0.238 0.987
Sb2 0.771 0.869 0.364
S2 0.923 0.626 0.354
I1 0.655 0.171 0.354
Sb3 0.223 0.423 0.919
Sb4 0.772 0.182 0.712
S3 0.711 0.841 0.074
S4 0.077 0.374 0.646
S5 0.289 0.159 0.926
Cu1 0.000 0.000 0.000
I2 0.385 0.491 0.264
I3 0.345 0.829 0.646
S6 0.096 0.050 0.326
Sb5 0.228 0.818 0.288
I4 0.615 0.509 0.736
S7 0.094 0.762 0.013
S8 0.904 0.950 0.674
Sb6 0.229 0.131 0.636

=====

No. 2
Material: Li4BiPt2N
Method: DFT, PBE-GGA
State: relaxed

Computed properties:
E_tot: -4.1177 eV/atom
Crystal system: tetragonal
Space group: P-4m2

Unit cell a=4.002 b=4.002 c=6.978 alpha=90.00 beta=90.00 gamma=90.00
Sites, in units of the cell vectors:
Li1 0.500 0.500 0.500
Pt1 0.000 0.500 0.276
Bi1 0.500 0.500 0.000
Li2 0.000 0.500 0.667
Li3 0.500 0.000 0.333
Li4 0.000 0.000 0.000
Pt2 0.500 0.000 0.724
N1 0.000 0.000 0.500

=====

No. 3
Material: Ta2Ge2As
Method: DFT, PBE-GGA
State: relaxed

Computed properties:
E_tot: -7.0579 eV/atom
Crystal system: tetragonal
Space group: I4/mmm

Unit cell a=6.148 b=6.148 c=6.148 alpha=138.80 beta=138.80 gamma=59.67
Sites, in units of the cell vectors:
Ta1 0.750 0.250 0.500
As1 0.000 0.000 0.000
Ge1 0.611 0.611 0.000
Ge2 0.389 0.389 0.000
Ta2 0.250 0.750 0.500

=====

No. 4
Material: GdYSi2Ir
Method: DFT, PBE-GGA
State: relaxed

Computed properties:
E_tot: -7.1209 eV/atom
Crystal system: monoclinic
Space group: C2/m

Unit cell a=5.662 b=5.662 c=10.176 alpha=115.46 beta=115.46 gamma=44.16
Sites, in units of the cell vectors:
Y1 0.005 0.005 0.328
Gd1 0.191 0.191 0.113
Ir1 0.730 0.730 0.345
Si1 0.490 0.490 0.117
Si2 0.510 0.510 0.883
Y2 0.995 0.995 0.672
Si3 0.647 0.647 0.555
Si4 0.353 0.353 0.445
Ir2 0.270 0.270 0.655
Gd2 0.809 0.809 0.887

=====

No. 5
Material: NiHgMoPb
Method: DFT, PBE-GGA
State: relaxed

Computed properties:
E_tot: -4.4288 eV/atom
Crystal system: cubic
Space group: F-43m
Polymorph energy (0 for the lowest one): 0 meV per atom

Unit cell a=4.707 b=4.707 c=4.707 alpha=60.00 beta=60.00 gamma=60.00
Sites, in units of the cell vectors:
Pb1 0.000 0.000 0.000
Ni1 0.750 0.750 0.750
Mo1 0.250 0.250 0.250
Hg1 0.500 0.500 0.500

=====

No. 6
Material: KAs5Ir3
Method: DFT, PBE-GGA
State: relaxed

Computed properties:
E_tot: -5.7475 eV/atom
Crystal system: hexagonal
Space group: P6/mmm

Unit cell a=5.606 b=5.606 c=7.957 alpha=90.00 beta=90.00 gamma=120.00
Sites, in units of the cell vectors:
K1 0.000 0.000 0.000
As1 0.333 0.667 0.257
Ir1 0.000 0.500 0.500
As2 0.333 0.667 0.743
Ir2 0.500 0.500 0.500
As3 0.667 0.333 0.257
Ir3 0.500 0.000 0.500
As4 0.667 0.333 0.743
As5 0.000 0.000 0.500